# BaCuSb, optimized geometry, DFT PBE
data_BaCuSb
_chemical_formula_sum 'Ba3 Cu3 Sb3'
_cell_length_a 8.978
_cell_length_b 8.978
_cell_length_c 4.228
_cell_angle_alpha 90.00
_cell_angle_beta 90.00
_cell_angle_gamma 120.00
_symmetry_space_group_name_H-M 'P 1'
_symmetry_Int_Tables_number 1
_symmetry_space_group_name_Hall 'P 1'
loop_
_atom_site_label
_atom_site_type_symbol
_atom_site_fract_x
_atom_site_fract_y
_atom_site_fract_z
Ba1 Ba 0.000 0.284 0.000
Ba2 Ba 0.284 0.000 0.000
Ba3 Ba 0.716 0.716 0.000
Cu1 Cu 0.000 0.618 0.500
Cu2 Cu 0.382 0.382 0.500
Cu3 Cu 0.618 0.000 0.500
Sb1 Sb 0.000 0.000 0.500
Sb2 Sb 0.333 0.667 0.000
Sb3 Sb 0.667 0.333 0.000
# crystal system: hexagonal
# calculated density: 5.44 Mg/m³
# VASP energy: -3.2339 eV per atom
# symmetry: P-62m, No. 189

=====

# BaCuSb, optimized geometry, DFT PBE
data_BaCuSb
_chemical_formula_sum 'Ba2 Cu2 Sb2'
_cell_length_a 5.624
_cell_length_b 5.624
_cell_length_c 6.858
_cell_angle_alpha 90.00
_cell_angle_beta 90.00
_cell_angle_gamma 120.00
_symmetry_space_group_name_H-M 'P 1'
_symmetry_Int_Tables_number 1
_symmetry_space_group_name_Hall 'P 1'
loop_
_atom_site_label
_atom_site_type_symbol
_atom_site_fract_x
_atom_site_fract_y
_atom_site_fract_z
Ba1 Ba 0.333 0.667 0.250
Ba2 Ba 0.667 0.333 0.750
Cu1 Cu 0.000 0.000 0.000
Cu2 Cu 0.000 0.000 0.500
Sb1 Sb 0.333 0.667 0.750
Sb2 Sb 0.667 0.333 0.250
# crystal system: hexagonal
# calculated density: 5.70 Mg/m³
# VASP energy: -3.2925 eV per atom
# symmetry: P6_3/mmc, No. 194

=====

# BaCuSb, optimized geometry, DFT PBE
data_BaCuSb
_chemical_formula_sum 'Ba2 Cu2 Sb2'
_cell_length_a 4.628
_cell_length_b 4.628
_cell_length_c 9.597
_cell_angle_alpha 90.00
_cell_angle_beta 90.00
_cell_angle_gamma 120.00
_symmetry_space_group_name_H-M 'P 1'
_symmetry_Int_Tables_number 1
_symmetry_space_group_name_Hall 'P 1'
loop_
_atom_site_label
_atom_site_type_symbol
_atom_site_fract_x
_atom_site_fract_y
_atom_site_fract_z
Ba1 Ba 0.000 0.000 0.000
Ba2 Ba 0.000 0.000 0.500
Cu1 Cu 0.333 0.667 0.250
Cu2 Cu 0.667 0.333 0.750
Sb1 Sb 0.333 0.667 0.750
Sb2 Sb 0.667 0.333 0.250
# crystal system: hexagonal
# calculated density: 6.02 Mg/m³
# VASP energy: -3.9566 eV per atom
# symmetry: P6_3/mmc, No. 194

=====

# BaCuSb, optimized geometry, DFT PBE
data_BaCuSb
_chemical_formula_sum 'Ba3 Cu3 Sb3'
_cell_length_a 7.859
_cell_length_b 7.859
_cell_length_c 4.699
_cell_angle_alpha 90.00
_cell_angle_beta 90.00
_cell_angle_gamma 120.00
_symmetry_space_group_name_H-M 'P 1'
_symmetry_Int_Tables_number 1
_symmetry_space_group_name_Hall 'P 1'
loop_
_atom_site_label
_atom_site_type_symbol
_atom_site_fract_x
_atom_site_fract_y
_atom_site_fract_z
Ba1 Ba 0.000 0.611 0.000
Ba2 Ba 0.389 0.389 0.000
Ba3 Ba 0.611 0.000 0.000
Cu1 Cu 0.000 0.000 0.000
Cu2 Cu 0.333 0.667 0.500
Cu3 Cu 0.667 0.333 0.500
Sb1 Sb 0.000 0.279 0.500
Sb2 Sb 0.279 0.000 0.500
Sb3 Sb 0.721 0.721 0.500
# crystal system: hexagonal
# calculated density: 6.39 Mg/m³
# VASP energy: -3.6448 eV per atom
# symmetry: P-62m, No. 189

=====

# BaCuSb, optimized geometry, DFT PBE
data_BaCuSb
_chemical_formula_sum 'Ba3 Cu3 Sb3'
_cell_length_a 7.736
_cell_length_b 7.736
_cell_length_c 4.943
_cell_angle_alpha 90.00
_cell_angle_beta 90.00
_cell_angle_gamma 120.00
_symmetry_space_group_name_H-M 'P 1'
_symmetry_Int_Tables_number 1
_symmetry_space_group_name_Hall 'P 1'
loop_
_atom_site_label
_atom_site_type_symbol
_atom_site_fract_x
_atom_site_fract_y
_atom_site_fract_z
Ba1 Ba 0.000 0.569 0.000
Ba2 Ba 0.431 0.431 0.000
Ba3 Ba 0.569 0.000 0.000
Cu1 Cu 0.000 0.221 0.500
Cu2 Cu 0.221 0.000 0.500
Cu3 Cu 0.779 0.779 0.500
Sb1 Sb 0.000 0.000 0.000
Sb2 Sb 0.333 0.667 0.500
Sb3 Sb 0.667 0.333 0.500
# crystal system: hexagonal
# calculated density: 6.27 Mg/m³
# VASP energy: -3.6797 eV per atom
# symmetry: P-62m, No. 189

=====

# BaSmCu2Sb2, optimized geometry, DFT PBE
data_BaSmCu2Sb2
_chemical_formula_sum 'Ba1 Sm1 Cu2 Sb2'
_cell_length_a 4.501
_cell_length_b 4.501
_cell_length_c 8.921
_cell_angle_alpha 90.00
_cell_angle_beta 90.00
_cell_angle_gamma 120.00
_symmetry_space_group_name_H-M 'P 1'
_symmetry_Int_Tables_number 1
_symmetry_space_group_name_Hall 'P 1'
loop_
_atom_site_label
_atom_site_type_symbol
_atom_site_fract_x
_atom_site_fract_y
_atom_site_fract_z
Ba1 Ba 0.000 0.000 0.000
Sm1 Sm 0.000 0.000 0.500
Cu1 Cu 0.333 0.667 0.305
Cu2 Cu 0.667 0.333 0.698
Sb1 Sb 0.333 0.667 0.727
Sb2 Sb 0.667 0.333 0.273
# crystal system: trigonal
# magnetic moment: 0.023 μB/atom
# calculated density: 6.98 Mg/m³
# VASP energy: -4.4295 eV per atom
# symmetry: P3m1, No. 156

=====

# BaCu2SnSb2, optimized geometry, DFT PBE
data_BaCu2SnSb2
_chemical_formula_sum 'Ba1 Cu2 Sn1 Sb2'
_cell_length_a 4.588
_cell_length_b 4.588
_cell_length_c 8.608
_cell_angle_alpha 90.00
_cell_angle_beta 90.00
_cell_angle_gamma 120.00
_symmetry_space_group_name_H-M 'P 1'
_symmetry_Int_Tables_number 1
_symmetry_space_group_name_Hall 'P 1'
loop_
_atom_site_label
_atom_site_type_symbol
_atom_site_fract_x
_atom_site_fract_y
_atom_site_fract_z
Ba1 Ba 0.000 0.000 0.000
Cu1 Cu 0.333 0.667 0.303
Cu2 Cu 0.667 0.333 0.701
Sn1 Sn 0.000 0.000 0.500
Sb1 Sb 0.333 0.667 0.728
Sb2 Sb 0.667 0.333 0.271
# crystal system: trigonal
# calculated density: 6.63 Mg/m³
# VASP energy: -3.8927 eV per atom
# symmetry: P3m1, No. 156

=====

# BaSrCu2Sb2, optimized geometry, DFT PBE
data_BaSrCu2Sb2
_chemical_formula_sum 'Ba1 Sr1 Cu2 Sb2'
_cell_length_a 4.587
_cell_length_b 4.587
_cell_length_c 9.100
_cell_angle_alpha 90.00
_cell_angle_beta 90.00
_cell_angle_gamma 120.00
_symmetry_space_group_name_H-M 'P 1'
_symmetry_Int_Tables_number 1
_symmetry_space_group_name_Hall 'P 1'
loop_
_atom_site_label
_atom_site_type_symbol
_atom_site_fract_x
_atom_site_fract_y
_atom_site_fract_z
Ba1 Ba 0.000 0.000 0.000
Sr1 Sr 0.000 0.000 0.500
Cu1 Cu 0.333 0.667 0.268
Cu2 Cu 0.667 0.333 0.735
Sb1 Sb 0.333 0.667 0.738
Sb2 Sb 0.667 0.333 0.262
# crystal system: trigonal
# calculated density: 5.96 Mg/m³
# VASP energy: -3.9212 eV per atom
# symmetry: P3m1, No. 156

=====

Number 3 is which compound?
BaCuSb

=====

Which of these has the highest VASP energy?
number 1